a | Pm8OsPt2: relaxed, GGA-PBE.

Structure (CIF):
```
data_Pm8OsPt2
_chemical_formula_sum 'Pm16 Os2 Pt4'
_symmetry_space_group_name_H-M 'C 1 2/m 1'
_symmetry_Int_Tables_number 12
_cell_length_a 17.775
_cell_length_b 5.081
_cell_length_c 6.942
_cell_angle_alpha 90.00
_cell_angle_beta 100.13
_cell_angle_gamma 90.00
loop_
_symmetry_equiv_pos_as_xyz
'x,y,z'
'-x,-y,-z'
'-x,y,-z'
'x,-y,z'
'x+1/2,y+1/2,z'
'-x+1/2,-y+1/2,-z'
'-x+1/2,y+1/2,-z'
'x+1/2,-y+1/2,z'
loop_
_atom_site_label
_atom_site_fract_x
_atom_site_fract_y
_atom_site_fract_z
_atom_site_occupancy
Pm1 0.034 0.000 0.287 1
Pm2 0.086 0.500 0.931 1
Pm3 0.163 0.500 0.463 1
Pm4 0.203 0.000 0.828 1
Os1 0.000 0.500 0.500 1
Pt1 0.201 0.000 0.237 1
```

Calculated values
Fermi-level density of states = 1.0754 states/eV per atom
spin magnetization = 0.000 μB per atom
ρ = 9.4 Mg/m³

b | Pm8OsPt2: relaxed, GGA-PBE.

Structure (CIF):
```
data_Pm8OsPt2
_chemical_formula_sum 'Pm16 Os2 Pt4'
_symmetry_space_group_name_H-M 'C 1 m 1'
_symmetry_Int_Tables_number 8
_cell_length_a 8.571
_cell_length_b 12.824
_cell_length_c 6.389
_cell_angle_alpha 90.00
_cell_angle_beta 111.73
_cell_angle_gamma 90.00
loop_
_symmetry_equiv_pos_as_xyz
'x,y,z'
'x,-y,z'
'x+1/2,y+1/2,z'
'x+1/2,-y+1/2,z'
loop_
_atom_site_label
_atom_site_fract_x
_atom_site_fract_y
_atom_site_fract_z
_atom_site_occupancy
Pm1 0.000 0.000 0.000 1
Pm2 0.064 0.369 0.788 1
Pm3 0.138 0.130 0.556 1
Pm4 0.202 0.500 0.373 1
Pm5 0.347 0.199 0.185 1
Os1 0.353 0.000 0.380 1
Pt1 0.355 0.316 0.684 1
```

Calculated values
Fermi-level density of states = 1.0567 states/eV per atom
spin magnetization = 0.000 μB per atom
ρ = 8.9 Mg/m³

List of relative energies, unit meV per atom: a 0; b 73

a | PmPuOs: relaxed, GGA-PBE.

Structure (CIF):
```
data_PmPuOs
_chemical_formula_sum 'Pm1 Pu1 Os1'
_symmetry_space_group_name_H-M 'P -6 m 2'
_symmetry_Int_Tables_number 187
_symmetry_space_group_name_Hall 'P -6 2'
_cell_length_a 4.4968
_cell_length_b 4.4968
_cell_length_c 4.2408
_cell_angle_alpha 90.00
_cell_angle_beta 90.00
_cell_angle_gamma 120.00
loop_
_atom_site_label
_atom_site_fract_x
_atom_site_fract_y
_atom_site_fract_z
_atom_site_occupancy
Pm1 0.0000 0.0000 0.0000 1
Pu1 0.3333 0.6667 0.5000 1
Os1 0.6667 0.3333 0.5000 1
```

Calculated values
Fermi-level density of states = 1.8528 states/eV per atom
spin magnetization = 1.717 μB per atom
ρ = 13.0 Mg/m³

b | PmPuOs: relaxed, GGA-PBE.

Structure (CIF):
```
data_PmPuOs
_chemical_formula_sum 'Pm8 Pu8 Os8'
_symmetry_space_group_name_H-M 'C 1 2/m 1'
_symmetry_Int_Tables_number 12
_cell_length_a 11.738
_cell_length_b 4.283
_cell_length_c 11.819
_cell_angle_alpha 90.00
_cell_angle_beta 97.83
_cell_angle_gamma 90.00
loop_
_symmetry_equiv_pos_as_xyz
'x,y,z'
'-x,-y,-z'
'-x,y,-z'
'x,-y,z'
'x+1/2,y+1/2,z'
'-x+1/2,-y+1/2,-z'
'-x+1/2,y+1/2,-z'
'x+1/2,-y+1/2,z'
loop_
_atom_site_label
_atom_site_fract_x
_atom_site_fract_y
_atom_site_fract_z
_atom_site_occupancy
Pm1 0.083 0.000 0.152 1
Pm2 0.090 0.500 0.678 1
Pu1 0.140 0.000 0.449 1
Pu2 0.216 0.000 0.890 1
Os1 0.090 0.500 0.938 1
Os2 0.226 0.500 0.339 1
```

Calculated values
Fermi-level density of states = 2.3522 states/eV per atom
spin magnetization = 1.715 μB per atom
ρ = 13.1 Mg/m³

c | PmPuOs: relaxed, GGA-PBE.

Structure (CIF):
```
data_PmPuOs
_chemical_formula_sum 'Pm2 Pu2 Os2'
_symmetry_space_group_name_H-M 'I 4 m m'
_symmetry_Int_Tables_number 107
_symmetry_space_group_name_Hall 'I 4 -2'
_cell_length_a 3.599
_cell_length_b 3.599
_cell_length_c 10.965
_cell_angle_alpha 90.00
_cell_angle_beta 90.00
_cell_angle_gamma 90.00
loop_
_atom_site_label
_atom_site_fract_x
_atom_site_fract_y
_atom_site_fract_z
_atom_site_occupancy
Pm1 0.000 0.000 0.000 1
Pu1 0.000 0.000 0.287 1
Os1 0.000 0.000 0.683 1
```

Calculated values
Fermi-level density of states = 1.8752 states/eV per atom
spin magnetization = 1.619 μB per atom
ρ = 13.5 Mg/m³

List of relative energies, unit meV per atom: a 214; b 0; c 115

a | PmPuOs: relaxed, GGA-PBE.

Structure (CIF):
```
data_PmPuOs
_chemical_formula_sum 'Pm4 Pu4 Os4'
_symmetry_space_group_name_H-M 'P n m a'
_symmetry_Int_Tables_number 62
_cell_length_a 7.725
_cell_length_b 4.322
_cell_length_c 8.622
_cell_angle_alpha 90.00
_cell_angle_beta 90.00
_cell_angle_gamma 90.00
loop_
_symmetry_equiv_pos_as_xyz
'x,y,z'
'-x,-y,-z'
'-x+1/2,-y,z+1/2'
'x+1/2,y,-z+1/2'
'x+1/2,-y+1/2,-z+1/2'
'-x+1/2,y+1/2,z+1/2'
'-x,y+1/2,-z'
'x,-y+1/2,z'
loop_
_atom_site_label
_atom_site_fract_x
_atom_site_fract_y
_atom_site_fract_z
_atom_site_occupancy
Pm1 0.022 0.250 0.171 1
Pu1 0.150 0.250 0.571 1
Os1 0.223 0.750 0.382 1
```

Calculated values
Fermi-level density of states = 2.1293 states/eV per atom
spin magnetization = 1.733 μB per atom
ρ = 13.4 Mg/m³

b | PmPuOs: relaxed, GGA-PBE.

Structure (CIF):
```
data_PmPuOs
_chemical_formula_sum 'Pm4 Pu4 Os4'
_symmetry_space_group_name_H-M 'F -4 3 m'
_symmetry_Int_Tables_number 216
_symmetry_space_group_name_Hall 'F -4 2 3'
_cell_length_a 6.803
_cell_length_b 6.803
_cell_length_c 6.803
_cell_angle_alpha 90.00
_cell_angle_beta 90.00
_cell_angle_gamma 90.00
loop_
_atom_site_label
_atom_site_fract_x
_atom_site_fract_y
_atom_site_fract_z
_atom_site_occupancy
Pm1 0.000 0.000 0.000 1
Pu1 0.000 0.000 0.500 1
Os1 0.250 0.250 0.750 1
```

Calculated values
Fermi-level density of states = 3.2197 states/eV per atom
spin magnetization = 1.712 μB per atom
ρ = 12.2 Mg/m³

List of relative energies, unit meV per atom: a 0; b 180

a | PmPu2Os: relaxed, GGA-PBE.

Structure (CIF):
```
data_PmPu2Os
_chemical_formula_sum 'Pm1 Pu2 Os1'
_symmetry_space_group_name_H-M 'P 4/m m m'
_symmetry_Int_Tables_number 123
_symmetry_space_group_name_Hall '-P 4 2'
_cell_length_a 3.474
_cell_length_b 3.474
_cell_length_c 8.256
_cell_angle_alpha 90.00
_cell_angle_beta 90.00
_cell_angle_gamma 90.00
loop_
_atom_site_label
_atom_site_fract_x
_atom_site_fract_y
_atom_site_fract_z
_atom_site_occupancy
Pm1 0.000 0.000 0.000 1
Pu1 0.500 0.500 0.308 1
Os1 0.000 0.000 0.500 1
```

Calculated values
Fermi-level density of states = 3.0192 states/eV per atom
spin magnetization = 2.595 μB per atom
ρ = 13.7 Mg/m³

b | PmPu2Os: relaxed, GGA-PBE.

Structure (CIF):
```
data_PmPu2Os
_chemical_formula_sum 'Pm8 Pu16 Os8'
_symmetry_space_group_name_H-M 'P n m a'
_symmetry_Int_Tables_number 62
_cell_length_a 14.902
_cell_length_b 9.199
_cell_length_c 5.987
_cell_angle_alpha 90.00
_cell_angle_beta 90.00
_cell_angle_gamma 90.00
loop_
_symmetry_equiv_pos_as_xyz
'x,y,z'
'-x,-y,-z'
'-x+1/2,-y,z+1/2'
'x+1/2,y,-z+1/2'
'x+1/2,-y+1/2,-z+1/2'
'-x+1/2,y+1/2,z+1/2'
'-x,y+1/2,-z'
'x,-y+1/2,z'
loop_
_atom_site_label
_atom_site_fract_x
_atom_site_fract_y
_atom_site_fract_z
_atom_site_occupancy
Pm1 0.108 0.250 0.236 1
Pm2 0.142 0.750 0.983 1
Pu1 0.037 0.057 0.742 1
Pu2 0.213 0.559 0.461 1
Os1 0.070 0.750 0.501 1
Os2 0.179 0.250 0.727 1
```

Calculated values
Fermi-level density of states = 3.0078 states/eV per atom
spin magnetization = 2.791 μB per atom
ρ = 13.3 Mg/m³

List of relative energies, unit meV per atom: a 115; b 0